# 1
{
  "formula": "ZnInSi2Br",
  "functional": "GGA-PBE",
  "state": "relaxed",
  "formation_energy_uncorrected_kcal_per_mol_atoms": 13.381,
  "n_ef_per_ev_cell": 2.67,
  "final_energy_ev_per_atom": -2.726,
  "lattice": [[4.7040, 0.0000, 0.0000], [0.0000, 5.8990, 0.0000], [0.0000, 0.0000, 4.7040]],
  "species": ["Br", "Si", "Si", "In", "Zn"],
  "fractional_positions": [[0.0000, 0.5000, 0.0000], [0.0000, 0.0000, 0.5000], [0.5000, 0.0000, 0.0000], [0.5000, 0.5000, 0.5000], [0.0000, 0.0000, 0.0000]]
}

# 2
{
  "formula": "Sm2InBr8",
  "functional": "GGA-PBE",
  "state": "relaxed",
  "formation_energy_uncorrected_kcal_per_mol_atoms": -34.039,
  "n_ef_per_ev_cell": 3.43,
  "final_energy_ev_per_atom": -3.800,
  "lattice": [[7.3131, 0.0967, 0.9625], [1.0298, 7.0265, 2.3727], [0.4656, -0.7177, 7.4384]],
  "species": ["Sm", "Sm", "Br", "Br", "Br", "Br", "Br", "Br", "Br", "Br", "In"],
  "fractional_positions": [[0.4512, 0.3185, 0.3185], [0.5488, 0.6815, 0.6815], [0.3111, 0.6676, 0.0507], [0.8285, 0.8111, 0.8111], [0.1715, 0.1889, 0.1889], [0.7520, 0.4375, 0.4375], [0.3111, 0.0507, 0.6676], [0.2480, 0.5625, 0.5625], [0.6889, 0.9493, 0.3324], [0.6889, 0.3324, 0.9493], [0.0000, 0.0000, 0.0000]]
}

# 3
{
  "formula": "Sm4InBr5",
  "functional": "GGA-PBE",
  "state": "relaxed",
  "formation_energy_uncorrected_kcal_per_mol_atoms": -30.037,
  "n_ef_per_ev_cell": 5.71,
  "final_energy_ev_per_atom": -4.300,
  "lattice": [[4.1745, 0.0000, 0.0000], [0.0000, 8.8148, 0.2737], [-2.0872, -2.0364, 9.0336]],
  "species": ["Br", "Br", "Br", "Br", "Br", "Sm", "Sm", "Sm", "Sm", "In"],
  "fractional_positions": [[0.1698, 0.8258, 0.3395], [0.1675, 0.3160, 0.3351], [0.8302, 0.1742, 0.6605], [0.8325, 0.6839, 0.6649], [0.5000, 0.5000, 0.0000], [0.0024, 0.2437, 0.0047], [0.9976, 0.7563, 0.9953], [0.3372, 0.9287, 0.6744], [0.6628, 0.0713, 0.3256], [0.5000, 0.0000, 0.0000]]
}

# 4
{
  "formula": "SmInBr",
  "functional": "GGA-PBE",
  "state": "relaxed",
  "formation_energy_uncorrected_kcal_per_mol_atoms": -23.741,
  "n_ef_per_ev_cell": 0.67,
  "final_energy_ev_per_atom": -4.073,
  "lattice": [[4.5111, -0.0203, -0.0329], [-2.2389, 3.9163, 0.0329], [-2.1674, -1.3465, 11.1766]],
  "species": ["In", "In", "Sm", "Sm", "Br", "Br"],
  "fractional_positions": [[0.6965, 0.8484, 0.5449], [0.3035, 0.1516, 0.4551], [0.1332, 0.5672, 0.7004], [0.8668, 0.4328, 0.2996], [0.4359, 0.7167, 0.1526], [0.5641, 0.2833, 0.8474]]
}

# 5
{
  "formula": "Sm2InBr",
  "functional": "GGA-PBE",
  "state": "relaxed",
  "formation_energy_uncorrected_kcal_per_mol_atoms": -17.009,
  "n_ef_per_ev_cell": 3.85,
  "final_energy_ev_per_atom": -4.200,
  "e_above_lowest_polymorph_kj_per_mol_atoms": 1.81,
  "lattice": [[-0.3203, 0.3285, 3.5367], [3.4893, -0.6348, 0.3750], [1.5933, 8.3828, -0.6344]],
  "species": ["Sm", "Sm", "Br", "In"],
  "fractional_positions": [[0.0000, 0.0000, 0.7578], [0.0000, 0.0000, 0.2422], [0.5000, 0.5000, 0.5000], [0.5000, 0.5000, 0.0000]]
}

# 6
{
  "formula": "Sm2InBr",
  "functional": "GGA-PBE",
  "state": "relaxed",
  "formation_energy_uncorrected_kcal_per_mol_atoms": -17.441,
  "n_ef_per_ev_cell": 2.34,
  "final_energy_ev_per_atom": -4.219,
  "e_above_lowest_polymorph_kj_per_mol_atoms": 0.00,
  "lattice": [[3.7740, 0.0000, 0.0000], [1.8870, 3.2684, 0.0000], [1.8870, 1.0895, 9.2753]],
  "species": ["In", "Sm", "Sm", "Br"],
  "fractional_positions": [[0.6667, 0.6667, 0.9998], [0.0850, 0.0850, 0.7451], [0.2487, 0.2487, 0.2539], [0.4996, 0.4996, 0.5011]]
}

# 7
{
  "formula": "SmIn5Br8",
  "functional": "GGA-PBE",
  "state": "relaxed",
  "formation_energy_uncorrected_kcal_per_mol_atoms": -22.688,
  "n_ef_per_ev_cell": 0.00,
  "final_energy_ev_per_atom": -3.255,
  "lattice": [[-3.4066, 6.7787, -3.8698], [-5.3050, -2.2045, 6.2872], [7.7202, 1.8530, 3.0818]],
  "species": ["Br", "Br", "Br", "Br", "Br", "Br", "Br", "Br", "In", "In", "In", "In", "In", "Sm"],
  "fractional_positions": [[0.2464, 0.3871, 0.2848], [0.6129, 0.8977, 0.8594], [0.0383, 0.7536, 0.1406], [0.4409, 0.1764, 0.6081], [0.5683, 0.8328, 0.3919], [0.8236, 0.4317, 0.2645], [0.1672, 0.5591, 0.7355], [0.1023, 0.9617, 0.7152], [0.9973, 0.1374, 0.3873], [0.5000, 0.5000, 0.0000], [0.7501, 0.6101, 0.6127], [0.3899, 0.0027, 0.1400], [0.8626, 0.2499, 0.8600], [0.2500, 0.7500, 0.5000]]
}

# 8
{
  "formula": "Sm2InBr3",
  "functional": "GGA-PBE",
  "state": "relaxed",
  "formation_energy_uncorrected_kcal_per_mol_atoms": -28.473,
  "n_ef_per_ev_cell": 6.86,
  "final_energy_ev_per_atom": -4.101,
  "lattice": [[-3.0188, -1.0451, -2.5027], [-0.9471, -9.9455, 2.0053], [-8.6136, 1.1663, 6.6124]],
  "species": ["In", "In", "Sm", "Sm", "Sm", "Sm", "Br", "Br", "Br", "Br", "Br", "Br"],
  "fractional_positions": [[0.4232, 0.5267, 0.6268], [0.5768, 0.4733, 0.3732], [0.6136, 0.2053, 0.5675], [0.8711, 0.4231, 0.8347], [0.1289, 0.5769, 0.1653], [0.3864, 0.7947, 0.4325], [0.6766, 0.6730, 0.9738], [0.7547, 0.8846, 0.6061], [0.9530, 0.8591, 0.2349], [0.3234, 0.3270, 0.0262], [0.2453, 0.1154, 0.3939], [0.0470, 0.1409, 0.7651]]
}

# 9
{
  "formula": "SmIn2Br8",
  "functional": "GGA-PBE",
  "state": "relaxed",
  "formation_energy_uncorrected_kcal_per_mol_atoms": -24.576,
  "n_ef_per_ev_cell": 4.65,
  "final_energy_ev_per_atom": -3.209,
  "lattice": [[7.1544, 0.3971, 0.3013], [0.5496, 8.5327, 0.7376], [0.5496, 3.0079, 8.0189]],
  "species": ["Br", "Br", "Br", "Br", "Br", "Br", "Br", "Br", "In", "In", "Sm"],
  "fractional_positions": [[0.7421, 0.1732, 0.1732], [0.2243, 0.8731, 0.2945], [0.7757, 0.1269, 0.7055], [0.2343, 0.3578, 0.3578], [0.7657, 0.6422, 0.6422], [0.7757, 0.7055, 0.1269], [0.2243, 0.2945, 0.8731], [0.2579, 0.8268, 0.8268], [0.6388, 0.8140, 0.8140], [0.3612, 0.1860, 0.1860], [0.0000, 0.0000, 0.0000]]
}

# 10
{
  "formula": "Sm2InBr",
  "functional": "GGA-PBE",
  "state": "relaxed",
  "formation_energy_uncorrected_kcal_per_mol_atoms": -16.810,
  "n_ef_per_ev_cell": 2.28,
  "final_energy_ev_per_atom": -4.191,
  "e_above_lowest_polymorph_kj_per_mol_atoms": 2.64,
  "lattice": [[-1.8193, 2.6014, -2.0519], [-1.0817, -0.7971, -3.5330], [-9.1171, -2.5666, 1.3483]],
  "species": ["Sm", "Sm", "In", "Br"],
  "fractional_positions": [[0.2487, 0.2487, 0.2540], [0.7513, 0.7513, 0.7460], [0.0000, 0.0000, 0.0000], [0.5000, 0.5000, 0.5000]]
}

# 11
{
  "formula": "SmInBr",
  "functional": "GGA-PBE",
  "state": "relaxed",
  "formation_energy_uncorrected_kcal_per_mol_atoms": -20.785,
  "n_ef_per_ev_cell": 3.10,
  "final_energy_ev_per_atom": -3.945,
  "lattice": [[5.0217, 0.0000, 0.0000], [0.0000, 4.0287, 0.0000], [0.0000, 2.0143, 8.1881]],
  "species": ["Br", "Br", "In", "In", "Sm", "Sm"],
  "fractional_positions": [[0.2500, 0.2670, 0.4659], [0.7500, 0.7330, 0.5341], [0.2500, 0.9497, 0.1005], [0.7500, 0.0503, 0.8995], [0.7500, 0.3750, 0.2501], [0.2500, 0.6250, 0.7499]]
}

# 12
{
  "formula": "SmInSn2Br8",
  "functional": "GGA-PBE",
  "state": "relaxed",
  "formation_energy_uncorrected_kcal_per_mol_atoms": -25.245,
  "n_ef_per_ev_cell": 0.00,
  "final_energy_ev_per_atom": -3.499,
  "lattice": [[-7.1988, 0.7917, -0.5636], [-1.0454, -5.2959, 4.2718], [0.0610, 5.7102, 7.1070]],
  "species": ["Br", "Br", "Br", "Br", "Br", "Br", "Br", "Br", "Sn", "Sn", "Sm", "In"],
  "fractional_positions": [[0.8392, 0.2420, 0.2247], [0.8391, 0.2420, 0.7753], [0.1608, 0.7580, 0.7753], [0.3605, 0.2768, 0.5006], [0.6783, 0.7558, 0.0004], [0.3217, 0.2442, 0.9996], [0.1609, 0.7580, 0.2247], [0.6395, 0.7232, 0.4994], [0.4998, 0.4998, 0.7465], [0.5002, 0.5002, 0.2535], [0.0000, 0.0000, 0.0000], [0.0000, 0.0000, 0.5000]]
}

# 13
{
  "formula": "SmTl3In3Br8",
  "functional": "GGA-PBE",
  "state": "relaxed",
  "formation_energy_uncorrected_kcal_per_mol_atoms": -21.537,
  "n_ef_per_ev_cell": 4.48,
  "final_energy_ev_per_atom": -3.162,
  "lattice": [[-7.5536, 5.5502, 1.7439], [4.0908, -4.8709, 7.1584], [4.5103, 7.3969, -4.0057]],
  "species": ["Tl", "Tl", "Tl", "In", "In", "In", "Br", "Br", "Br", "Br", "Br", "Br", "Br", "Br", "Sm"],
  "fractional_positions": [[0.0000, 0.0000, 0.0000], [0.0000, 0.5000, 0.0000], [0.5000, 0.5000, 0.0000], [0.5000, 0.5000, 0.5000], [0.0000, 0.5000, 0.5000], [0.5000, 0.0000, 0.5000], [0.7860, 0.5720, 0.2875], [0.7487, 0.4975, 0.7454], [0.2142, 0.9984, 0.7121], [0.7842, 0.9984, 0.7121], [0.7858, 0.0016, 0.2879], [0.2513, 0.5025, 0.2546], [0.2158, 0.0016, 0.2879], [0.2140, 0.4280, 0.7125], [0.0000, 0.0000, 0.5000]]
}

# 14
{
  "formula": "InSn4Br8",
  "functional": "GGA-PBE",
  "state": "relaxed",
  "formation_energy_uncorrected_kcal_per_mol_atoms": -14.423,
  "n_ef_per_ev_cell": 3.23,
  "final_energy_ev_per_atom": -3.097,
  "e_above_lowest_polymorph_kj_per_mol_atoms": 0.00,
  "lattice": [[7.9840, -0.0006, -4.3075], [-5.1537, 7.4658, -0.0004], [-0.3343, -0.2301, 8.9336]],
  "species": ["Sn", "Sn", "Sn", "Sn", "Br", "Br", "Br", "Br", "Br", "Br", "Br", "Br", "In"],
  "fractional_positions": [[0.0000, 0.0000, 0.0000], [0.5000, 0.0000, 0.0000], [0.5000, 0.5000, 0.0000], [0.0000, 0.5000, 0.0000], [0.0177, 0.7615, 0.7792], [0.4770, 0.2385, 0.2208], [0.5246, 0.2623, 0.7869], [0.9823, 0.2385, 0.2208], [0.5230, 0.7615, 0.7792], [0.4754, 0.7377, 0.2131], [0.9823, 0.7438, 0.2208], [0.0177, 0.2562, 0.7792], [0.0000, 0.5000, 0.5000]]
}

# 15
{
  "formula": "In2SnBr4",
  "functional": "GGA-PBE",
  "state": "relaxed",
  "formation_energy_uncorrected_kcal_per_mol_atoms": -15.944,
  "n_ef_per_ev_cell": 0.00,
  "final_energy_ev_per_atom": -3.002,
  "e_above_lowest_polymorph_kj_per_mol_atoms": 0.67,
  "lattice": [[4.3984, 0.0000, 0.0000], [0.0000, 8.8560, -0.2779], [-2.1992, -4.5530, 7.2346]],
  "species": ["Sn", "Br", "Br", "Br", "Br", "In", "In"],
  "fractional_positions": [[0.0000, 0.0000, 0.0000], [0.1200, 0.8510, 0.2400], [0.3719, 0.7454, 0.7438], [0.6281, 0.2546, 0.2562], [0.8800, 0.1490, 0.7600], [0.7076, 0.7276, 0.4152], [0.2924, 0.2725, 0.5848]]
}

# 16
{
  "formula": "InSnBr2",
  "functional": "GGA-PBE",
  "state": "relaxed",
  "formation_energy_uncorrected_kcal_per_mol_atoms": -8.844,
  "n_ef_per_ev_cell": 2.71,
  "final_energy_ev_per_atom": -2.905,
  "e_above_lowest_polymorph_kj_per_mol_atoms": 0.00,
  "lattice": [[-6.8915, -4.7845, -2.2711], [-1.8331, -1.3419, 8.3894], [-6.3529, -0.2063, 3.0812]],
  "species": ["Br", "Br", "Br", "Br", "Sn", "Sn", "In", "In"],
  "fractional_positions": [[0.0959, 0.6250, 0.2500], [0.6541, 0.1250, 0.2500], [0.3750, 0.3459, 0.7500], [0.8750, 0.9041, 0.7500], [0.7500, 0.2500, 0.5000], [0.0000, 0.0000, 0.0000], [0.5000, 0.5000, 0.0000], [0.2500, 0.7500, 0.5000]]
}

# 17
{
  "formula": "In2Sn2Br",
  "functional": "GGA-PBE",
  "state": "relaxed",
  "formation_energy_uncorrected_kcal_per_mol_atoms": -1.425,
  "n_ef_per_ev_cell": 5.06,
  "final_energy_ev_per_atom": -3.093,
  "e_above_lowest_polymorph_kj_per_mol_atoms": 3.81,
  "lattice": [[8.8814, 0.0000, 0.0000], [0.0000, 8.8814, 0.0000], [0.0000, 0.0000, 3.6326]],
  "species": ["Sn", "Sn", "Sn", "Sn", "In", "In", "In", "In", "Br", "Br"],
  "fractional_positions": [[0.1559, 0.3441, 0.0000], [0.3441, 0.8441, 0.0000], [0.6559, 0.1559, 0.0000], [0.8441, 0.6559, 0.0000], [0.3562, 0.1438, 0.5000], [0.8562, 0.3562, 0.5000], [0.6438, 0.8562, 0.5000], [0.1438, 0.6438, 0.5000], [0.0000, 0.0000, 0.0000], [0.5000, 0.5000, 0.0000]]
}

# 18
{
  "formula": "InSnBr3",
  "functional": "GGA-PBE",
  "state": "relaxed",
  "formation_energy_uncorrected_kcal_per_mol_atoms": -15.991,
  "n_ef_per_ev_cell": 0.00,
  "final_energy_ev_per_atom": -3.045,
  "lattice": [[-11.5732, -1.5852, 5.4463], [-8.5179, -7.8503, -4.2762], [-2.2405, -9.5471, 6.8517]],
  "species": ["Sn", "Sn", "Sn", "Sn", "Sn", "Sn", "Sn", "Sn", "Br", "Br", "Br", "Br", "Br", "Br", "Br", "Br", "Br", "Br", "Br", "Br", "Br", "Br", "Br", "Br", "Br", "Br", "Br", "Br", "Br", "Br", "Br", "Br", "In", "In", "In", "In", "In", "In", "In", "In"],
  "fractional_positions": [[0.8584, 0.1625, 0.8375], [0.3139, 0.9763, 0.6861], [0.7855, 0.7855, 0.7145], [0.9763, 0.3139, 0.0237], [0.1625, 0.8584, 0.1416], [0.3689, 0.3689, 0.6311], [0.2855, 0.2855, 0.2145], [0.6594, 0.6594, 0.3406], [0.6951, 0.3093, 0.6907], [0.5637, 0.0597, 0.6770], [0.8513, 0.9139, 0.7911], [0.3003, 0.3230, 0.9403], [0.8068, 0.8068, 0.1932], [0.8208, 0.4105, 0.8410], [0.9312, 0.4175, 0.2895], [0.5563, 0.2089, 0.0861], [0.4105, 0.8208, 0.9277], [0.2089, 0.5563, 0.1487], [0.1590, 0.0723, 0.1792], [0.3230, 0.3003, 0.4363], [0.6382, 0.7105, 0.5825], [0.1443, 0.8591, 0.8557], [0.8591, 0.1443, 0.1409], [0.9139, 0.8513, 0.4437], [0.0723, 0.1590, 0.5895], [0.3093, 0.6951, 0.3049], [0.4175, 0.9312, 0.3618], [0.0597, 0.5637, 0.6997], [0.1818, 0.1818, 0.8182], [0.7105, 0.6382, 0.0688], [0.3693, 0.6010, 0.6307], [0.6010, 0.3693, 0.3990], [0.0047, 0.4953, 0.5047], [0.8624, 0.1616, 0.4586], [0.6241, 0.0138, 0.3759], [0.1616, 0.8624, 0.5173], [0.5414, 0.4827, 0.1376], [0.0138, 0.6241, 0.9862], [0.4827, 0.5414, 0.8384], [0.4953, 0.0047, 0.9953]]
}

# 19
{
  "formula": "InSnBr3",
  "functional": "GGA-PBE",
  "state": "relaxed",
  "formation_energy_uncorrected_kcal_per_mol_atoms": -16.622,
  "n_ef_per_ev_cell": 0.00,
  "final_energy_ev_per_atom": -3.073,
  "lattice": [[-2.2168, -6.5470, 4.4992], [2.8341, -7.5263, -1.8283], [5.4384, -3.7676, 4.9243]],
  "species": ["Br", "Br", "Br", "Br", "Br", "Br", "Sn", "Sn", "In", "In"],
  "fractional_positions": [[0.6405, 0.2843, 0.8381], [0.2843, 0.8381, 0.6405], [0.3381, 0.7843, 0.1405], [0.1405, 0.3381, 0.7843], [0.7843, 0.1405, 0.3381], [0.8381, 0.6405, 0.2843], [0.5025, 0.5025, 0.5025], [0.0025, 0.0025, 0.0025], [0.7061, 0.7061, 0.7061], [0.2061, 0.2061, 0.2061]]
}

# 20
{
  "formula": "InSnBr4",
  "functional": "GGA-PBE",
  "state": "relaxed",
  "formation_energy_uncorrected_kcal_per_mol_atoms": -14.913,
  "n_ef_per_ev_cell": 8.62,
  "final_energy_ev_per_atom": -2.885,
  "e_above_lowest_polymorph_kj_per_mol_atoms": 1.22,
  "lattice": [[-1.1839, 3.2752, 6.6274], [-6.8517, -3.1703, 0.7252], [0.4946, -9.0535, 4.7538]],
  "species": ["Br", "Br", "Br", "Br", "Br", "Br", "Br", "Br", "In", "In", "Sn", "Sn"],
  "fractional_positions": [[0.6250, 0.9227, 0.1763], [0.1250, 0.5989, 0.8237], [0.9371, 0.2166, 0.5961], [0.3750, 0.0773, 0.8237], [0.8750, 0.4011, 0.1763], [0.4371, 0.3127, 0.4039], [0.0629, 0.7834, 0.4039], [0.5629, 0.6873, 0.5961], [0.2500, 0.4361, 0.6279], [0.7500, 0.5639, 0.3721], [0.2500, 0.9357, 0.6286], [0.7500, 0.0643, 0.3714]]
}